(1)
Material: LiY2Zn
Method: DFT, SCAN
State: single point on PBEsol structure

It has space group P4mm (No. 99), with a = 3.585 Å, b = 3.585 Å, c = 7.179 Å, α = 90.00°, β = 90.00° and γ = 90.00°. The inequivalent atoms are Li at (0.000, 0.000, 0.000), Y at (0.000, 0.000, 0.588), Y at (0.500, 0.500, 0.266) and Zn at (0.500, 0.500, 0.824).

For the formation energy, the calculation gives -0.46 eV/f.u. The density of states at the Fermi level is 0.465 states/eV per atom. For the magnetic moment, the calculation gives 0.3348 μB/atom.


(2)
Material: LiSb2Pd2
Method: DFT, SCAN
State: single point on PBEsol structure

It has space group I4/mmm (No. 139), with a = 5.130 Å, b = 5.130 Å, c = 8.028 Å, α = 90.00°, β = 90.00° and γ = 90.00°. The inequivalent atoms are Li at (0.000, 0.000, 0.000), Sb at (0.000, 0.500, 0.250) and Pd at (0.000, 0.000, 0.339).

The formation energy (no corrections) is -1.5 eV per formula unit. The density of states at the Fermi level is 0.438 states/eV per atom. For the magnetic moment, the calculation gives 0.0000 μB/atom.


(3)
Material: KIn3Si
Method: DFT, SCAN
State: single point on PBEsol structure

It has space group Pm-3m (No. 221), with a = 5.709 Å, b = 5.709 Å, c = 5.709 Å, α = 90.00°, β = 90.00° and γ = 90.00°. The inequivalent atoms are K at (0.000, 0.000, 0.000), In at (0.000, 0.000, 0.500) and Si at (0.500, 0.500, 0.500).

The formation energy (no corrections) is 6.9 eV per formula unit. The density of states at the Fermi level is 0.623 states/eV per atom. For the magnetic moment, the calculation gives 0.0000 μB/atom.


(4)
Material: LiLaMn2
Method: DFT, SCAN
State: single point on PBEsol structure

It has space group R3m (No. 160, hexagonal axes), with a = 3.7747 Å, b = 3.7747 Å, c = 17.2413 Å, α = 90.00°, β = 90.00° and γ = 120.00°. The inequivalent atoms are Li at (0.0000, 0.0000, 0.0000), La at (0.0000, 0.0000, 0.2017), Mn at (0.0000, 0.0000, 0.4161) and Mn at (0.0000, 0.0000, 0.7390).

For the formation energy, the calculation gives 1.09 eV/f.u. The density of states at the Fermi level is 0.769 states/eV per atom. For the magnetic moment, the calculation gives 0.0805 μB/atom.